A plane-wave DFT calculation with PBE-GGA was carried out for an optimized crystal structure of SO3.

- V (Å³/atom) = 21.69
- space-group type = C2/m (12)
- magnetization (μB/cell) = 0.0
- electronic total energy (eV/atom) = -5.763
- formation energy (no corrections) (meV/atom) = -1013
- ρ (g cm⁻³) = 1.53

```
SO3
1.0
4.982 -2.893 0.000
4.982 2.893 0.000
-0.027 0.000 6.019
S O
2 6
direct
0.211 0.211 0.250
0.789 0.789 0.750
0.067 0.067 0.250
0.069 0.498 0.250
0.498 0.069 0.250
0.502 0.931 0.750
0.931 0.502 0.750
0.933 0.933 0.750
```